## CsInS (PBE-GGA)

Data for CsInS after structural relaxation.

Output
The value obtained for the energy above the lowest structure with this stoichiometry is 60 meV per atom. Its energy relative to the elements, uncorrected is -0.68 eV per atom. The value obtained for the magnetization is 0.00 μB/cell.

POSCAR file:
```
CsInS
1.0
4.294 0.000 0.000
-2.147 3.719 0.000
0.000 0.000 6.921
Cs S In
1 1 1
Direct
0.000 0.000 0.046
0.667 0.333 0.378
0.333 0.667 0.576
```

=====

## Cs5In2S5 (PBE-GGA)

Data for Cs5In2S5 after structural relaxation.

Output
Its energy relative to the elements, uncorrected is -0.92 eV per atom. The value obtained for the magnetization is 0.00 μB/cell.

POSCAR file:
```
Cs5In2S5
1.0
-3.043 -0.447 -3.525
2.954 -7.635 1.524
-9.120 0.145 7.852
S Cs In
5 5 2
Direct
0.112 0.223 0.339
0.391 0.782 0.218
0.000 0.000 0.000
0.609 0.218 0.782
0.888 0.777 0.661
0.223 0.446 0.629
0.500 0.000 0.500
0.777 0.554 0.371
0.647 0.294 0.080
0.353 0.706 0.920
0.028 0.055 0.793
0.972 0.945 0.207
```

=====

## CsInS2 (PBE-GGA)

Data for CsInS2 after structural relaxation.

Output
Its energy relative to the elements, uncorrected is -0.94 eV per atom. The value obtained for the magnetization is 0.00 μB/cell.

POSCAR file:
```
CsInS2
1.0
6.588 -0.259 -0.453
-1.908 7.070 0.558
-1.908 -3.113 6.372
Cs In S
2 2 4
Direct
0.750 0.637 0.363
0.250 0.363 0.637
0.250 0.989 0.011
0.750 0.011 0.989
0.365 0.924 0.710
0.635 0.076 0.290
0.865 0.710 0.924
0.135 0.290 0.076
```

=====

## CsIn3S (PBE-GGA)

Data for CsIn3S after structural relaxation.

Output
The value obtained for the energy above the lowest structure with this stoichiometry is 1080 meV per atom. Its energy relative to the elements, uncorrected is 1.16 eV per atom. The value obtained for the magnetization is 0.00 μB/cell.

POSCAR file:
```
CsIn3S
1.0
6.518 0.000 0.000
0.000 6.518 0.000
0.000 0.000 6.518
Cs In S
1 3 1
Direct
0.000 0.000 0.000
0.500 0.000 0.000
0.000 0.500 0.000
0.000 0.000 0.500
0.500 0.500 0.500
```